DFT (PBE) results for Na2SnO3 after structural relaxation.

abc: 5.6052 5.6052 11.1899
angles: 90.00 90.00 120.00
Space group P6_3/mcm (No. 193)
Inequivalent atoms, fractional coordinates:
Na1 0.0000 0.0000 0.0000
Na2 0.0000 0.3218 0.2500
Sn1 0.3333 0.6667 0.0000
O1 0.0000 0.3692 0.6052

Summary:
- Energy relative to the elements, uncorrected: -1.708 eV per atom
- E_tot: -5.294 eV/atom
- Density of states at the Fermi level: 0.0 states/eV/f.u.